Sc4SnPbS after structural relaxation. Source: Alexandria, functional GGA-PBE.

E_tot ... -6.100 eV per atom
Formation energy (no corrections) ... -5.534 eV per formula unit

Cell and atoms, written as POSCAR:
```
Sc4SnPbS
1.0
-4.8542 2.5065 -3.8360
-4.4640 -1.3068 4.7951
3.6222 5.6384 4.9087
Sc Pb Sn S
8 2 2 2
direct
0.0878 0.7500 0.1756 Sc
0.9122 0.2500 0.8244 Sc
0.5000 0.0000 0.5000 Sc
0.0000 0.0000 0.5000 Sc
0.5834 0.2500 0.1668 Sc
0.0000 0.5000 0.5000 Sc
0.4166 0.7500 0.8332 Sc
0.5000 0.5000 0.5000 Sc
0.1073 0.2500 0.2147 Pb
0.8927 0.7500 0.7853 Pb
0.6111 0.7500 0.2223 Sn
0.3889 0.2500 0.7777 Sn
0.2522 0.7500 0.5044 S
0.7478 0.2500 0.4956 S
```

---

LiY2Pb2 after structural relaxation. Source: Alexandria, functional GGA-PBE.

E_tot ... -4.855 eV per atom
Excess energy over the best structure of this formula in the dataset ... 51 meV/atom
Energy relative to the elements ... -0.403 eV/atom

Cell and atoms, written as POSCAR:
```
LiY2Pb2
1.0
-2.3034 5.9567 -0.1342
-6.1026 -2.3752 -0.6836
3.5223 -1.9079 6.8924
Pb Li Y
4 2 4
direct
0.6178 0.3783 0.2356 Pb
0.8822 0.1427 0.7644 Pb
0.3822 0.6217 0.7644 Pb
0.1178 0.8573 0.2356 Pb
0.2500 0.5000 0.0000 Li
0.7500 0.5000 0.0000 Li
0.1400 0.3564 0.2800 Y
0.6400 0.9236 0.2800 Y
0.3600 0.0764 0.7200 Y
0.8600 0.6436 0.7200 Y
```

---

GaSn2S4 after structural relaxation. Source: Alexandria, functional GGA-PBE.

E_tot ... -4.295 eV per atom
Formation energy (no corrections) ... -2.519 eV per formula unit

Cell and atoms, written as POSCAR:
```
GaSn2S4
1.0
6.6802 0.0000 0.1603
0.0000 6.9855 0.0000
-2.2761 0.0000 7.1248
Ga Sn S
2 4 8
direct
0.7457 0.2500 0.8096 Ga
0.2543 0.7500 0.1904 Ga
0.2552 0.2500 0.9394 Sn
0.7113 0.7500 0.5590 Sn
0.7448 0.7500 0.0606 Sn
0.2887 0.2500 0.4410 Sn
0.9605 0.2500 0.1070 S
0.0395 0.7500 0.8930 S
0.4883 0.0001 0.2484 S
0.9622 0.2500 0.6232 S
0.0378 0.7500 0.3768 S
0.5117 0.5001 0.7516 S
0.4883 0.4999 0.2484 S
0.5117 0.9999 0.7516 S
```

---

NaFeH2 after structural relaxation. Source: Alexandria, functional GGA-PBE.

E_tot ... -4.021 eV per atom
Excess energy over the best structure of this formula in the dataset ... 0 meV/atom

Cell and atoms, written as POSCAR:
```
NaFeH2
1.0
2.8162 0.0000 0.0000
1.4081 2.4389 0.0000
1.4081 0.8130 5.1706
H Fe Na
2 1 1
direct
0.2180 0.2180 0.3460 H
0.7820 0.7820 0.6540 H
0.5000 0.5000 0.5000 Fe
0.0000 0.0000 0.0000 Na
```

---

Ca2PH2 after structural relaxation. Source: Alexandria, functional GGA-PBE.

E_tot ... -3.682 eV per atom
Excess energy over the best structure of this formula in the dataset ... 225 meV/atom

Cell and atoms, written as POSCAR:
```
Ca2PH2
1.0
4.6968 0.0000 0.0000
0.0000 4.6968 0.0000
2.3484 2.3484 3.7177
Ca H P
2 2 1
direct
0.7500 0.2500 0.5000 Ca
0.2500 0.7500 0.5000 Ca
0.3195 0.3195 0.3610 H
0.6805 0.6805 0.6390 H
0.0000 0.0000 0.0000 P
```

---

TaPtIN2 after structural relaxation. Source: Alexandria, functional GGA-PBE.

E_tot ... -6.639 eV per atom
Excess energy over the best structure of this formula in the dataset ... 0 meV/atom
Formation energy (no corrections) ... 2.899 eV per formula unit

Cell and atoms, written as POSCAR:
```
TaPtIN2
1.0
3.9639 0.0000 0.0000
0.0000 3.9639 0.0000
0.0000 0.0000 6.1762
Ta I Pt N
1 1 1 2
direct
0.0000 0.0000 0.0000 Ta
0.0000 0.0000 0.5000 I
0.5000 0.5000 0.5000 Pt
0.5000 0.0000 0.0000 N
0.0000 0.5000 0.0000 N
```

---

TePd2Au after structural relaxation. Source: Alexandria, functional GGA-PBE.

E_tot ... -4.329 eV per atom
Formation energy (no corrections) ... -0.510 eV per formula unit

Cell and atoms, written as POSCAR:
```
TePd2Au
1.0
3.4371 0.0000 0.0000
0.0000 3.4371 0.0000
0.0000 0.0000 6.1742
Pd Te Au
2 1 1
direct
0.0000 0.0000 0.2487 Pd
0.0000 0.0000 0.7513 Pd
0.5000 0.5000 0.0000 Te
0.5000 0.5000 0.5000 Au
```

---

La4Nd5In after structural relaxation. Source: Alexandria, functional GGA-PBE.

E_tot ... -4.645 eV per atom
Excess energy over the best structure of this formula in the dataset ... 0 meV/atom
Energy relative to the elements ... -0.016 eV/atom

Cell and atoms, written as POSCAR:
```
La4Nd5In
1.0
-3.8023 1.7210 1.0628
-1.2075 -3.7468 1.7470
6.9692 5.3441 16.2790
Nd La In
5 4 1
direct
0.5000 0.5000 0.5000 Nd
0.5000 0.5000 0.2894 Nd
0.5000 0.5000 0.7106 Nd
0.5000 0.5000 0.0869 Nd
0.5000 0.5000 0.9131 Nd
0.0000 0.0000 0.8032 La
0.0000 0.0000 0.6047 La
0.0000 0.0000 0.3953 La
0.0000 0.0000 0.1968 La
0.0000 0.0000 0.0000 In
```

---

TbNd2Dy4Y2 after structural relaxation. Source: Alexandria, functional GGA-PBE.

E_tot ... -5.059 eV per atom
Energy relative to the elements ... -0.003 eV/atom

Cell and atoms, written as POSCAR:
```
TbNd2Dy4Y2
1.0
-2.8342 0.9271 -2.0415
-4.0599 -6.2080 6.0159
0.6230 9.0201 3.2314
Tb Dy Nd Y
1 4 2 2
direct
0.0000 0.0000 0.0000 Tb
0.8147 0.6294 0.6641 Dy
0.5191 0.0381 0.3341 Dy
0.4809 0.9619 0.6659 Dy
0.1853 0.3706 0.3359 Dy
0.3343 0.6685 0.9995 Nd
0.6657 0.3315 0.0005 Nd
0.1467 0.2935 0.6629 Y
0.8533 0.7065 0.3371 Y
```

---

SrMgSi2Pd2 after structural relaxation. Source: Alexandria, functional GGA-PBE.

E_tot ... -4.752 eV per atom
Formation energy (no corrections) ... -4.004 eV per formula unit

Cell and atoms, written as POSCAR:
```
SrMgSi2Pd2
1.0
4.3192 0.0000 0.0000
-2.1596 3.7405 0.0000
0.0000 0.0000 7.2912
Si Pd Mg Sr
2 2 1 1
direct
0.3333 0.6667 0.3027 Si
0.6667 0.3333 0.6973 Si
0.6667 0.3333 0.3350 Pd
0.3333 0.6667 0.6650 Pd
0.0000 0.0000 0.5000 Mg
0.0000 0.0000 0.0000 Sr
```

---

Na3CoCu after structural relaxation. Source: Alexandria, functional GGA-PBE.

E_tot ... -2.073 eV per atom
Excess energy over the best structure of this formula in the dataset ... 0 meV/atom
Energy relative to the elements ... 0.959 eV/atom

Cell and atoms, written as POSCAR:
```
Na3CoCu
1.0
5.2891 0.0000 0.0000
0.0000 5.2891 0.0000
0.0000 0.0000 5.2891
Na Co Cu
3 1 1
direct
0.5000 0.0000 0.0000 Na
0.0000 0.5000 0.0000 Na
0.0000 0.0000 0.5000 Na
0.5000 0.5000 0.5000 Co
0.0000 0.0000 0.0000 Cu
```

---

Y2AlPtCl after structural relaxation. Source: Alexandria, functional GGA-PBE.

E_tot ... -5.617 eV per atom
Formation energy (no corrections) ... -3.528 eV per formula unit

Cell and atoms, written as POSCAR:
```
Y2AlPtCl
1.0
5.5267 0.0000 0.0000
0.0000 4.6874 0.0000
0.0000 0.0000 5.5267
Cl Pt Al Y
1 1 1 2
direct
0.5000 0.5000 0.5000 Cl
0.0000 0.0000 0.0000 Pt
0.0000 0.5000 0.0000 Al
0.5000 0.0000 0.0000 Y
0.0000 0.0000 0.5000 Y
```